[1]
{"formula": "CrFe2Ag", "functional": "SCAN", "state": "PBEsol geometry", "e_above_lowest_polymorph_kcal_per_mol_atoms": 0.78, "formation_enthalpy_0k_ev_per_atom": 0.3195, "n_ef_per_ev_cell": 2.769, "energy_ha_per_atom": -0.77847, "lattice": [[1.464, -2.050, 0.000], [1.464, 2.050, 0.000], [0.000, 0.000, 8.321]], "species": ["Cr", "Fe", "Fe", "Ag"], "frac_coords": [[0.000, 0.000, 0.000], [0.000, 0.000, 0.451], [0.500, 0.500, 0.224], [0.500, 0.500, 0.722]]}

[2]
{"formula": "CsK2Cd2", "functional": "SCAN", "state": "PBEsol geometry", "e_above_lowest_polymorph_kcal_per_mol_atoms": 0.34, "formation_enthalpy_0k_ev_per_atom": -0.0086, "n_ef_per_ev_cell": 3.735, "energy_ha_per_atom": -0.84773, "lattice": [[-2.794, 2.794, 7.572], [2.794, -2.794, 7.572], [2.794, 2.794, -7.572]], "species": ["Cs", "K", "K", "Cd", "Cd"], "frac_coords": [[0.000, 0.000, 0.000], [0.250, 0.750, 0.500], [0.750, 0.250, 0.500], [0.406, 0.406, 0.000], [0.594, 0.594, 0.000]]}

[3]
{"formula": "Be2CoSi", "functional": "SCAN", "state": "PBEsol geometry", "raw_formation_energy_ev_per_atom": -0.2613, "n_ef_per_ev_cell": 1.110, "energy_ha_per_atom": -0.34060, "lattice": [[-1.638, 1.638, 3.442], [1.638, -1.638, 3.442], [1.638, 1.638, -3.442]], "species": ["Be", "Be", "Co", "Si"], "frac_coords": [[0.250, 0.750, 0.500], [0.750, 0.250, 0.500], [0.000, 0.000, 0.000], [0.500, 0.500, 0.000]]}